# 1
Compound: MnHgRh2
Source: Alexandria via LeMat-Bulk
Functional: PBE
Structure: relaxed

Calculated values
- theoretical density (g/cm3) = 12.05
- final energy (eV/cell) = -23.69
- E_form (eV per atom) = 0.120

Cell: 4.874 4.874 4.761 Å, 101.61 101.61 35.11°
Element x y z (fractional)
1 Mn 0.000 0.000 0.000
2 Hg 0.242 0.242 0.725
3 Rh 0.485 0.485 0.460
4 Rh 0.740 0.740 0.225

# 2
Compound: MnHgRh
Source: Alexandria via LeMat-Bulk
Functional: PBE
Structure: relaxed

Calculated values
- theoretical density (g/cm3) = 11.88
- E above lowest polymorph (meV per atom) = 113.2
- final energy (eV/cell) = -16.35
- E_form (eV per atom) = 0.158

Cell: 4.404 4.404 2.984 Å, 90.00 90.00 120.00°
Element x y z (fractional)
1 Mn 0.000 0.000 0.000
2 Hg 0.667 0.333 0.627
3 Rh 0.333 0.667 0.191

# 3
Compound: MnHgRh2
Source: Alexandria via LeMat-Bulk
Functional: PBE
Structure: relaxed

Calculated values
- theoretical density (g/cm3) = 11.33
- final energy (eV/cell) = -45.24
- E_form (eV per atom) = 0.388

Cell: 5.676 5.676 5.676 Å, 103.36 103.36 122.53°
Element x y z (fractional)
1 Mn 0.000 0.000 0.000
2 Mn 0.750 0.250 0.500
3 Hg 0.250 0.750 0.500
4 Hg 0.500 0.500 0.000
5 Rh 0.085 0.125 0.460
6 Rh 0.375 0.915 0.040
7 Rh 0.665 0.625 0.540
8 Rh 0.875 0.335 0.960